Entry one
Compound: BeSiSCl2
Source: the Alexandria database
Functional: GGA-PBE
Structure: optimized geometry

abc: 4.681 4.681 4.653
angles: 90.00 90.00 90.00
Space group P4/mmm (No. 123)
One atom of each set of equivalent atoms:
1 Be 0.000 0.000 0.000 [1 per cell]
2 Si 0.500 0.500 0.500 [1 per cell]
3 S 0.500 0.500 0.000 [1 per cell]
4 Cl 0.000 0.500 0.500 [2 per cell]



Entry two
Compound: BeSiSCl2
Source: the Alexandria database
Functional: GGA-PBE
Structure: optimized geometry

abc: 4.270 4.270 4.883
angles: 90.00 90.00 90.00
Space group P4/mmm (No. 123)
One atom of each set of equivalent atoms:
1 Be 0.000 0.000 0.000 [1 per cell]
2 Si 0.500 0.500 0.500 [1 per cell]
3 S 0.000 0.000 0.500 [1 per cell]
4 Cl 0.000 0.500 0.000 [2 per cell]



Stability ranking, top entry: entry two; the second entry is 422 meV/atom less favorable.